Record 1
DFT (PBE) results for an optimized crystal structure of MgFe2Ir.

abc: 3.7791 3.7791 3.8934
angles: 90.00 90.00 90.00
Space group P4/mmm (No. 123)
Symmetry-distinct sites (fractional):
Mg 0.0000 0.0000 0.0000 [1 per cell]
Fe 0.0000 0.5000 0.5000 [2 per cell]
Ir 0.5000 0.5000 0.0000 [1 per cell]

Output
Formation energy   2 meV/atom
Total energy   -6.84 eV per atom

***

Record 2
DFT (PBE) results for an optimized crystal structure of MgFe2Ir.

abc: 2.6832 4.2547 5.0154
angles: 90.00 101.79 90.00
Space group P2/m (No. 10)
Symmetry-distinct sites (fractional):
Mg 0.0000 0.0000 0.0000 [1 per cell]
Fe 0.2467 0.5000 0.7355 [2 per cell]
Ir 0.5000 0.0000 0.5000 [1 per cell]

Output
Formation energy   71 meV/atom
Total energy   -6.77 eV per atom

***

Record 3
DFT (PBE) results for an optimized crystal structure of MgFeIr2.

abc: 4.3218 4.3218 3.0354
angles: 90.00 90.00 90.00
Space group P4/mmm (No. 123)
Symmetry-distinct sites (fractional):
Mg 0.0000 0.0000 0.0000 [1 per cell]
Fe 0.5000 0.5000 0.0000 [1 per cell]
Ir 0.0000 0.5000 0.5000 [2 per cell]

Output
Formation energy   -152 meV/atom
Total energy   -7.10 eV per atom

***

Record 4
DFT (PBE) results for an optimized crystal structure of MgFe2Ir.

abc: 2.7069 2.7069 7.6201
angles: 90.00 90.00 90.00
Space group P4/mmm (No. 123)
Symmetry-distinct sites (fractional):
Mg 0.0000 0.0000 0.0000 [1 per cell]
Fe 0.5000 0.5000 0.2671 [2 per cell]
Ir 0.0000 0.0000 0.5000 [1 per cell]

Output
Formation energy   114 meV/atom
Total energy   -6.73 eV per atom

***

Record 5
DFT (PBE) results for an optimized crystal structure of MgFe2Ir.

abc: 2.9564 4.2613 8.8008
angles: 90.00 90.00 90.00
Space group Immm (No. 71)
Symmetry-distinct sites (fractional):
Mg 0.0000 0.0000 0.0000 [2 per cell]
Fe 0.0000 0.5000 0.2384 [4 per cell]
Ir 0.0000 0.0000 0.5000 [2 per cell]

Output
Formation energy   6 meV/atom
Total energy   -6.84 eV per atom

***

Record 6
DFT (PBE) results for an optimized crystal structure of MgFe2Ir.

abc: 2.6882 4.1306 5.1161
angles: 90.00 102.22 90.00
Space group Pm (No. 6)
Symmetry-distinct sites (fractional):
Mg 0.0000 0.0000 0.0000 [1 per cell]
Fe 0.5430 0.0000 0.4912 [1 per cell]
Fe 0.7246 0.5000 0.2585 [1 per cell]
Ir 0.3101 0.5000 0.7358 [1 per cell]

Output
Formation energy   40 meV/atom
Total energy   -6.80 eV per atom

***

Record 7
DFT (PBE) results for an optimized crystal structure of Mg2FeIr.

abc: 5.5700 7.4372 2.9794
angles: 90.00 90.00 90.00
Space group Cmmm (No. 65)
Symmetry-distinct sites (fractional):
Mg 0.2500 0.2500 0.0000 [4 per cell]
Fe 0.0000 0.0000 0.5000 [2 per cell]
Ir 0.0000 0.5000 0.5000 [2 per cell]

Output
Formation energy   -8 meV/atom
Total energy   -5.14 eV per atom

***

Record 8
DFT (PBE) results for an optimized crystal structure of MgMnFeIr.

abc: 6.1526 6.1526 6.1526
angles: 90.00 90.00 90.00
Space group F-43m (No. 216)
Symmetry-distinct sites (fractional):
Mg 0.0000 0.0000 0.0000 [4 per cell]
Mn 0.2500 0.2500 0.7500 [4 per cell]
Fe 0.2500 0.2500 0.2500 [4 per cell]
Ir 0.0000 0.0000 0.5000 [4 per cell]

Output
Formation energy   22 meV/atom
Total energy   -7.00 eV per atom